Record 1
VASP calculation (PBE) on a geometry-optimized Ac2ZnCu structure.

ρ = 8.39 g/cm³
E_form = -0.17 eV per atom

Lattice parameters (Å, degrees): 3.8649 3.8649 7.7238 90.00 90.00 90.00
Closest atoms and distances in Å follow each position.
Space group P4/mmm (No. 123)
Asymmetric unit:
1 Ac 0.0000 0.0000 0.2431 x2  4 Cu 3.32, 4 Zn 3.38
2 Zn 0.5000 0.5000 0.5000 x1  8 Ac 3.38
3 Cu 0.5000 0.5000 0.0000 x1  8 Ac 3.32



Record 2
VASP calculation (PBE) on a geometry-optimized Er2Cd5Hg structure.

ρ = 8.59 g/cm³
Energy above the most stable polymorph in this dataset = 183 meV/atom
E_form = -0.06 eV per atom

Lattice parameters (Å, degrees): 4.7603 4.7603 32.4097 90.00 90.00 120.00
Closest atoms and distances in Å follow each position.
Space group R-3m (No. 166, hexagonal axes)
Asymmetric unit:
1 Er 0.0000 0.0000 0.0958 x6  7 Cd 3.04-3.29, 1 Hg 3.10
2 Cd 0.0000 0.0000 0.1972 x6  3 Cd 2.92, 3 Er 3.04
3 Cd 0.0000 0.0000 0.3761 x6  3 Hg 3.08, 3 Er 3.24
4 Cd 0.0000 0.0000 0.5000 x3  6 Cd 2.92
5 Hg 0.0000 0.0000 0.0000 x3  6 Cd 3.08, 2 Er 3.10



Record 3
VASP calculation (PBE) on a geometry-optimized CaV2Cl8 structure.

ρ = 1.84 g/cm³
Energy relative to the elements, uncorrected = -1.451 eV per atom

Lattice parameters (Å, degrees): 12.9626 9.1886 6.5036 90.00 98.16 90.00
Closest atoms and distances in Å follow each position.
Space group C2/m (No. 12)
Asymmetric unit:
1 Ca 0.0000 0.0000 0.0000 x2  6 Cl 2.77-2.79
2 V 0.1943 0.0000 0.6513 x4  4 Cl 2.17-2.27
3 Cl 0.1056 0.1876 0.7702 x8  1 V 2.27
4 Cl 0.1416 0.5000 0.2196 x4  1 V 2.17
5 Cl 0.1767 0.0000 0.3006 x4  1 V 2.26



Record 4
VASP calculation (PBE) on a geometry-optimized Li5SbPt6 structure.

ρ = 13.23 g/cm³
Energy relative to the elements, uncorrected = -0.561 eV per atom

Lattice parameters (Å, degrees): 4.3193 6.0053 12.8427 90.00 90.00 90.00
Closest atoms and distances in Å follow each position.
Space group Immm (No. 71)
Asymmetric unit:
1 Li 0.0000 0.0000 0.0000 x2  8 Pt 2.58-2.63
2 Li 0.0000 0.0000 0.3355 x4  8 Pt 2.57-2.66
3 Li 0.0000 0.5000 0.3303 x4  8 Pt 2.57-2.61
4 Sb 0.0000 0.5000 0.0000 x2  8 Pt 2.68, 2 Li 3.00
5 Pt 0.0000 0.2426 0.1708 x8  7 Li 2.57-2.66, 1 Sb 2.68
6 Pt 0.0000 0.2655 0.5000 x4  6 Li 2.58-2.65, 2 Sb 2.68, 1 Pt 2.82



Record 5
VASP calculation (PBE) on a geometry-optimized La3Sc structure.

ρ = 5.80 g/cm³
E_form = 0.04 eV per atom

Lattice parameters (Å, degrees): 11.8446 3.6343 6.2376 90.00 100.33 90.00
Closest atoms and distances in Å follow each position.
Space group C2/m (No. 12)
Asymmetric unit:
1 La 0.0000 0.0000 0.0000 x2  8 La 3.55-3.66, 4 Sc 3.61
2 La 0.2434 0.0000 0.7399 x4  3 Sc 3.51-3.62, 9 La 3.53-3.70
3 Sc 0.0000 0.5000 0.5000 x2  10 La 3.51-3.62, 2 Sc 3.63



Record 6
VASP calculation (PBE) on a geometry-optimized Gd2HoPt structure.

ρ = 8.82 g/cm³
Energy above the most stable polymorph in this dataset = 269 meV/atom
E_form = -0.28 eV per atom

Lattice parameters (Å, degrees): 3.7349 3.7349 31.5411 90.00 90.00 120.00
Closest atoms and distances in Å follow each position.
Space group R-3m (No. 166, hexagonal axes)
Asymmetric unit:
1 Gd 0.0000 0.0000 0.1092 x6  3 Pt 2.82
2 Ho 0.0000 0.0000 0.0000 x3  2 Gd 3.44, 6 Ho 3.73
3 Pt 0.0000 0.0000 0.5000 x3  6 Gd 2.82